w) {"formula": "TlNiN2", "functional": "PBE", "state": "relaxed", "lattice": [[5.049, 0.000, 0.000], [0.000, 5.049, 0.000], [0.000, 0.000, 8.874]], "species": ["Tl", "Tl", "Tl", "Tl", "Ni", "Ni", "Ni", "Ni", "N", "N", "N", "N", "N", "N", "N", "N"], "frac_coords": [[0.000, 0.000, 0.000], [0.000, 0.500, 0.250], [0.500, 0.000, 0.750], [0.500, 0.500, 0.500], [0.000, 0.000, 0.500], [0.000, 0.500, 0.750], [0.500, 0.000, 0.250], [0.500, 0.500, 0.000], [0.153, 0.250, 0.625], [0.250, 0.653, 0.875], [0.250, 0.847, 0.375], [0.347, 0.250, 0.125], [0.653, 0.750, 0.125], [0.750, 0.153, 0.375], [0.750, 0.347, 0.875], [0.847, 0.750, 0.625]], "volume_a3_per_atom": 14.14}

---

x) {"formula": "TlNiN2", "functional": "PBE", "state": "relaxed", "lattice": [[3.483, 0.000, 0.000], [-1.741, 3.016, 0.000], [0.000, 0.000, 17.728]], "species": ["Tl", "Tl", "Tl", "Ni", "Ni", "Ni", "N", "N", "N", "N", "N", "N"], "frac_coords": [[0.000, 0.000, 0.000], [0.333, 0.667, 0.667], [0.667, 0.333, 0.333], [0.000, 0.000, 0.500], [0.333, 0.667, 0.167], [0.667, 0.333, 0.833], [0.000, 0.000, 0.403], [0.000, 0.000, 0.597], [0.333, 0.667, 0.070], [0.333, 0.667, 0.263], [0.667, 0.333, 0.737], [0.667, 0.333, 0.930]], "volume_a3_per_atom": 15.52}

---

Most stable to least stable, the ends of the list are w) and x).

---

w) {"formula": "TlNiN2", "functional": "PBE", "state": "relaxed", "lattice": [[3.059, 0.000, 0.000], [-1.530, 2.649, 0.000], [0.000, 0.000, 18.861]], "species": ["Tl", "Tl", "Tl", "Ni", "Ni", "Ni", "N", "N", "N", "N", "N", "N"], "frac_coords": [[0.000, 0.000, 0.000], [0.333, 0.667, 0.667], [0.667, 0.333, 0.333], [0.000, 0.000, 0.500], [0.333, 0.667, 0.167], [0.667, 0.333, 0.833], [0.000, 0.000, 0.121], [0.000, 0.000, 0.879], [0.333, 0.667, 0.545], [0.333, 0.667, 0.788], [0.667, 0.333, 0.212], [0.667, 0.333, 0.455]], "volume_a3_per_atom": 12.74}

---

x) {"formula": "TlNiN2", "functional": "PBE", "state": "relaxed", "lattice": [[5.690, 0.000, 0.000], [0.000, 5.690, 0.000], [0.000, 0.000, 5.690]], "species": ["Tl", "Tl", "Tl", "Tl", "Ni", "Ni", "Ni", "Ni", "N", "N", "N", "N", "N", "N", "N", "N"], "frac_coords": [[0.000, 0.000, 0.000], [0.000, 0.500, 0.500], [0.500, 0.000, 0.500], [0.500, 0.500, 0.000], [0.000, 0.000, 0.500], [0.000, 0.500, 0.000], [0.500, 0.000, 0.000], [0.500, 0.500, 0.500], [0.250, 0.250, 0.250], [0.250, 0.250, 0.750], [0.250, 0.750, 0.250], [0.250, 0.750, 0.750], [0.750, 0.250, 0.250], [0.750, 0.250, 0.750], [0.750, 0.750, 0.250], [0.750, 0.750, 0.750]], "volume_a3_per_atom": 11.52}

---

Most stable to least stable, the ends of the list are w) and x).

---

w) {"formula": "TlNi2N", "functional": "PBE", "state": "relaxed", "lattice": [[4.845, 0.000, 0.000], [0.000, 4.845, 0.000], [0.000, 0.000, 10.839]], "species": ["Tl", "Tl", "Tl", "Tl", "Ni", "Ni", "Ni", "Ni", "Ni", "Ni", "Ni", "Ni", "N", "N", "N", "N"], "frac_coords": [[0.000, 0.250, 0.375], [0.000, 0.750, 0.625], [0.500, 0.250, 0.125], [0.500, 0.750, 0.875], [0.000, 0.000, 0.000], [0.000, 0.500, 0.000], [0.250, 0.250, 0.750], [0.250, 0.750, 0.250], [0.500, 0.000, 0.500], [0.500, 0.500, 0.500], [0.750, 0.250, 0.750], [0.750, 0.750, 0.250], [0.000, 0.250, 0.875], [0.000, 0.750, 0.125], [0.500, 0.250, 0.625], [0.500, 0.750, 0.375]], "volume_a3_per_atom": 15.90}

---

x) {"formula": "TlNi2N", "functional": "PBE", "state": "relaxed", "lattice": [[5.964, 0.000, 0.000], [0.000, 5.964, 0.000], [0.000, 0.000, 5.964]], "species": ["Tl", "Tl", "Tl", "Tl", "Ni", "Ni", "Ni", "Ni", "Ni", "Ni", "Ni", "Ni", "N", "N", "N", "N"], "frac_coords": [[0.000, 0.000, 0.000], [0.000, 0.500, 0.500], [0.500, 0.000, 0.500], [0.500, 0.500, 0.000], [0.250, 0.250, 0.250], [0.250, 0.250, 0.750], [0.250, 0.750, 0.250], [0.250, 0.750, 0.750], [0.750, 0.250, 0.250], [0.750, 0.250, 0.750], [0.750, 0.750, 0.250], [0.750, 0.750, 0.750], [0.000, 0.000, 0.500], [0.000, 0.500, 0.000], [0.500, 0.000, 0.000], [0.500, 0.500, 0.500]], "volume_a3_per_atom": 13.26}

---

Most stable to least stable, the ends of the list are w) and x).

---

w) {"formula": "Tl3NiN", "functional": "PBE", "state": "relaxed", "lattice": [[4.852, 0.000, 0.000], [0.000, 4.852, 0.000], [0.000, 0.000, 4.852]], "species": ["Tl", "Tl", "Tl", "Ni", "N"], "frac_coords": [[0.000, 0.000, 0.500], [0.000, 0.500, 0.000], [0.500, 0.000, 0.000], [0.500, 0.500, 0.500], [0.000, 0.000, 0.000]], "volume_a3_per_atom": 22.84}

---

x) {"formula": "Tl3NiN", "functional": "PBE", "state": "relaxed", "lattice": [[4.994, 0.000, 0.000], [0.000, 4.994, 0.000], [0.000, 0.000, 4.994]], "species": ["Tl", "Tl", "Tl", "Ni", "N"], "frac_coords": [[0.000, 0.000, 0.500], [0.000, 0.500, 0.000], [0.500, 0.000, 0.000], [0.000, 0.000, 0.000], [0.500, 0.500, 0.500]], "volume_a3_per_atom": 24.90}

---

Most stable to least stable, the ends of the list are w) and x).